This record from the Alexandria database describes an optimized crystal structure of Pm2NdEu. The functional is PBE.

Cell and atoms, written as POSCAR:
```
Pm2NdEu
1.0
5.2374 0.0000 0.0000
0.0000 5.2218 0.0000
0.0000 0.0000 5.2218
Eu Nd Pm
1 1 2
Cartesian
2.6187 2.6109 2.6109
2.6187 0.0000 0.0000
0.0000 0.0000 2.6109
0.0000 2.6109 0.0000
```

## Properties
DOS at the Fermi energy: 6.11 states/eV per cell
SG: No. 123
Calculated formation energy: 0.06 eV/atom
Energy above the most stable polymorph in this dataset: 0.0 meV/atom
Calculated volume: 142.81 Å³ per cell

***

This record from the Alexandria database describes an optimized crystal structure of AlTl2Ir. The functional is PBE.

Cell and atoms, written as POSCAR:
```
AlTl2Ir
1.0
5.0082 -0.0049 0.0000
-1.8228 4.6647 0.0000
0.0000 0.0000 3.4997
Tl Ir Al
2 1 1
Cartesian
0.0000 0.0000 0.0000
1.5927 2.3299 0.0000
-0.9114 2.3324 1.7499
2.5041 -0.0025 1.7499
```

## Properties
DOS at the Fermi energy: 2.62 states/eV per cell
SG: No. 65
Calculated formation energy: 0.52 eV/atom
Energy above the most stable polymorph in this dataset: 586.7 meV/atom
Calculated volume: 81.73 Å³ per cell

***

This record from the Alexandria database describes an optimized crystal structure of Fe3Cl5. The functional is PBE.

Cell and atoms, written as POSCAR:
```
Fe3Cl5
1.0
-5.6969 0.0005 4.3747
2.7005 -6.6049 -0.8219
1.9713 0.4866 2.5671
Fe Cl
3 5
Cartesian
-1.4982 -3.3022 1.7764
-3.2438 -0.9105 4.7502
2.2187 -5.2073 1.3697
0.0000 0.0000 0.0000
1.3503 -3.3025 -0.4110
-2.8485 0.0002 2.1874
0.0272 -1.8693 2.4200
-1.0523 -4.2486 3.6999
```

## Properties
DOS at the Fermi energy: 7.39 states/eV per cell
SG: No. 65
Formation energy (no corrections): -0.103 eV/atom
Calculated volume: 157.02 Å³ per cell

***

This record from the Alexandria database describes an optimized crystal structure of CaCrGa. The functional is PBE.

Cell and atoms, written as POSCAR:
```
CaCrGa
1.0
-4.4108 -0.8472 -0.5650
1.3428 -2.8317 -6.2372
0.9060 -6.9517 3.3511
Cr Ca Ga
4 4 4
Cartesian
1.9172 -8.2361 -2.6178
0.9327 -6.1599 1.9553
-1.4126 -3.7680 -1.4572
-1.0543 -4.5235 -3.1213
0.1997 -1.5323 0.7386
-0.8813 -6.8475 -0.9868
0.7554 -2.0603 -2.8079
-1.6684 -4.5439 1.7038
1.3941 -5.4947 -2.6444
0.8670 -4.3831 -0.1961
-1.9357 -1.0266 -1.4839
-1.1200 -2.7467 -5.2727
```

## Properties
DOS at the Fermi energy: 9.54 states/eV per cell
SG: No. 44
Calculated formation energy: 0.10 eV/atom
Calculated volume: 245.53 Å³ per cell

***

This record from the Alexandria database describes an optimized crystal structure of In8Re. The functional is PBE.

Cell and atoms, written as POSCAR:
```
In8Re
1.0
-5.4705 5.4705 1.8738
5.4705 -5.4705 1.8738
5.4705 5.4705 -1.8738
In Re
8 1
Cartesian
-1.5954 1.5954 1.8738
1.5954 -1.5954 1.8738
7.3730 0.0000 0.0000
3.8751 3.8751 0.0000
0.0000 7.3730 0.0000
1.5954 1.5954 1.8738
3.5680 0.0000 0.0000
0.0000 3.5680 0.0000
0.0000 0.0000 0.0000
```

## Properties
DOS at the Fermi energy: 3.53 states/eV per cell
SG: No. 139
Calculated formation energy: 0.32 eV/atom
Calculated volume: 224.30 Å³ per cell

***

This record from the Alexandria database describes an optimized crystal structure of Ho2ErTmRh4. The functional is PBE.

Cell and atoms, written as POSCAR:
```
Ho2ErTmRh4
1.0
-0.1947 1.4344 -4.5807
-4.1812 -0.0735 -2.3644
-2.9232 7.7966 0.0466
Ho Er Tm Rh
2 1 1 4
Cartesian
-5.4734 6.8637 -5.1753
-1.8257 2.2938 -1.7232
0.0000 0.0000 0.0000
-3.6495 4.5787 -3.4492
-4.1978 7.3274 -2.5652
-4.9260 4.1191 -6.0579
-2.3731 5.0384 -0.8405
-3.1013 1.8300 -4.3332
```

## Properties
DOS at the Fermi energy: 3.12 states/eV per cell
SG: No. 166
Calculated formation energy: -0.94 eV/atom
Calculated volume: 156.92 Å³ per cell

***

This record from the Alexandria database describes an optimized crystal structure of PuSe2ClO8. The functional is PBE.

Cell and atoms, written as POSCAR:
```
PuSe2ClO8
1.0
6.0762 0.0000 0.0000
-3.0381 5.2621 0.0000
0.0000 0.0000 6.5175
Pu Se Cl O
1 2 1 8
Cartesian
0.0000 0.0000 0.0000
0.0000 3.5081 4.8106
3.0381 1.7540 1.7069
0.0000 0.0000 3.2587
0.0000 1.9562 5.4866
-1.3439 4.2840 5.4866
1.3439 4.2840 5.4866
1.6941 0.9781 1.0308
3.0381 1.7540 3.3232
0.0000 3.5081 3.1942
3.0381 3.3059 1.0308
4.3820 0.9781 1.0308
```

## Properties
DOS at the Fermi energy: 16.15 states/eV per cell
SG: No. 164
Formation energy (no corrections): -0.957 eV/atom
Calculated volume: 208.39 Å³ per cell

***

This record from the Alexandria database describes an optimized crystal structure of AcHf2RhN4. The functional is PBE.

Cell and atoms, written as POSCAR:
```
AcHf2RhN4
1.0
-0.9363 3.1401 0.1152
-4.9822 -3.2315 0.9346
2.0186 0.1837 11.3966
Ac Hf Rh N
2 4 2 8
Cartesian
0.3215 -0.2257 8.7645
-4.2213 0.3180 3.6819
-2.8926 -1.1195 7.0058
-1.8116 1.1386 0.8993
-1.0072 1.2118 5.4406
-2.0883 -1.0463 11.5470
-2.7027 0.5651 9.2874
-1.1971 -0.4728 3.1589
-2.6858 -0.8622 1.6730
-1.8170 0.8996 7.3692
-1.2140 0.9545 10.7734
-2.0828 -0.8073 5.0771
1.0093 0.0919 5.6983
0.0000 0.0000 0.0000
-3.3658 -1.3498 9.4358
-0.5340 1.4421 3.0106
```

## Properties
DOS at the Fermi energy: 4.27 states/eV per cell
SG: No. 63
Formation energy (no corrections): -1.089 eV/atom
Calculated volume: 219.51 Å³ per cell

***

This record from the Alexandria database describes an optimized crystal structure of NaNiBr6. The functional is PBE.

Cell and atoms, written as POSCAR:
```
NaNiBr6
1.0
-3.0591 4.5683 5.0401
-6.2143 -1.3661 4.1230
0.4678 -1.8096 6.2264
Na Ni Br
1 1 6
Cartesian
-4.4028 0.6963 7.6947
0.0000 0.0000 0.0000
-2.1115 -1.5491 6.1646
-8.2186 0.8941 13.1442
-3.2206 2.2317 5.4758
-0.5869 0.4985 2.2453
-6.6941 2.9418 9.2248
-5.5850 -0.8390 9.9136
```

## Properties
DOS at the Fermi energy: 7.67 states/eV per cell
SG: No. 2
Formation energy (no corrections): -0.391 eV/atom
Calculated volume: 248.67 Å³ per cell

***

This record from the Alexandria database describes an optimized crystal structure of Pm8Zn2Os. The functional is PBE.

Cell and atoms, written as POSCAR:
```
Pm8Zn2Os
1.0
5.2048 0.0000 0.0000
0.0000 6.8993 0.3565
-2.6024 -2.5323 8.6045
Pm Zn Os
8 2 1
Cartesian
0.0000 1.8381 7.2709
2.6024 5.8215 3.0561
2.6024 3.2271 5.4019
2.6024 -0.9336 8.1970
0.0000 1.1399 3.5591
0.0000 -1.4546 5.9049
2.6024 2.5289 1.6901
0.0000 5.3005 0.7640
2.6024 0.2967 5.4120
0.0000 4.0703 3.5489
2.6024 0.0000 0.0000
```

## Properties
DOS at the Fermi energy: 10.67 states/eV per cell
SG: No. 12
Calculated formation energy: -0.12 eV/atom
Energy above the most stable polymorph in this dataset: 0.0 meV/atom
Calculated volume: 313.68 Å³ per cell

***

This record from the Alexandria database describes an optimized crystal structure of MgNi2. The functional is PBE.

Cell and atoms, written as POSCAR:
```
MgNi2
1.0
-4.4036 3.0073 2.1000
0.4508 -2.8126 4.9730
3.6401 3.9863 1.9245
Ni Mg
8 4
Cartesian
-1.0307 1.6539 5.0917
0.7180 2.5272 3.9059
2.1310 0.3099 5.8261
-2.4437 3.8712 3.1715
-1.2236 1.2925 1.6025
0.9109 2.8885 7.3951
-0.5021 5.1058 5.4749
0.1894 -0.9248 3.5227
0.0000 0.0000 0.0000
-1.9764 0.0973 3.5365
-0.3817 3.4968 2.0123
2.0454 0.5869 3.4488
```

## Properties
DOS at the Fermi energy: 15.85 states/eV per cell
SG: No. 205
Calculated formation energy: 0.77 eV/atom
Calculated volume: 188.24 Å³ per cell

***

This record from the Alexandria database describes an optimized crystal structure of LiSiHg. The functional is PBE.

Cell and atoms, written as POSCAR:
```
LiSiHg
1.0
-1.8631 1.0779 3.9155
2.7511 -3.5101 -0.2741
2.5171 1.9205 0.6690
Hg Li Si
1 1 1
Cartesian
2.0984 1.6011 0.5577
2.0504 -1.3418 1.3450
1.7732 1.1495 3.0767
```

## Properties
DOS at the Fermi energy: 1.15 states/eV per cell
SG: No. 187
Formation energy (no corrections): 0.004 eV/atom
Energy above the most stable polymorph in this dataset: 107.9 meV/atom
Calculated volume: 55.95 Å³ per cell

***

This record from the Alexandria database describes an optimized crystal structure of Rb4Cd2I. The functional is PBE.

Cell and atoms, written as POSCAR:
```
Rb4Cd2I
1.0
-3.3998 5.7108 -2.7898
1.1028 -2.5859 -6.6371
-8.8523 -2.8158 -4.2877
I Rb Cd
1 4 2
Cartesian
0.0000 0.0000 0.0000
-5.4569 1.3290 -9.2523
-5.6923 -1.0199 -4.4623
0.5514 -1.2929 -3.3186
-1.6999 2.8554 -1.3949
-8.7047 -0.5168 -9.0728
-2.4446 0.8258 -4.6418
```

## Properties
DOS at the Fermi energy: 5.29 states/eV per cell
SG: No. 139
Formation energy (no corrections): -0.319 eV/atom
Calculated volume: 460.90 Å³ per cell

***

This record from the Alexandria database describes an optimized crystal structure of LiCdBi2P. The functional is PBE.

Cell and atoms, written as POSCAR:
```
LiCdBi2P
1.0
-4.2687 0.8043 -3.4691
-0.1519 -4.4094 -0.8354
-3.5562 -0.6768 4.2189
P Li Bi Cd
1 1 2 1
Cartesian
0.0000 0.0000 0.0000
-0.0759 -2.2047 -0.4177
-1.7781 -0.3384 2.1095
-2.1344 0.4021 -1.7346
-3.9884 -2.1410 -0.0428
```

## Properties
DOS at the Fermi energy: 3.55 states/eV per cell
SG: No. 123
Calculated formation energy: 0.12 eV/atom
Calculated volume: 138.77 Å³ per cell

***

This record from the Alexandria database describes an optimized crystal structure of Ce4Os2Cl5. The functional is PBE.

Cell and atoms, written as POSCAR:
```
Ce4Os2Cl5
1.0
-1.6865 0.7383 -3.1354
-2.2610 -7.4717 -0.5432
-9.5626 0.6761 7.4111
Ce Os Cl
4 2 5
Cartesian
-5.3789 -3.2161 0.0278
-1.9118 -5.2121 -0.1989
-8.1311 -2.8413 3.7047
-11.5982 -0.8452 3.9314
-2.5040 -2.8347 0.6794
-11.0061 -3.2227 3.0531
-4.5211 -5.7350 1.0815
-8.9890 -0.3223 2.6510
-5.5437 -1.8645 2.5429
-0.8433 0.3691 -1.5677
-7.9664 -4.1929 1.1896
```

## Properties
DOS at the Fermi energy: 14.59 states/eV per cell
SG: No. 12
Formation energy (no corrections): -1.068 eV/atom
Calculated volume: 337.79 Å³ per cell

***

This record from the Alexandria database describes an optimized crystal structure of K5CuSb2. The functional is PBE.

Cell and atoms, written as POSCAR:
```
K5CuSb2
1.0
10.0930 0.0076 0.0047
8.3050 5.7355 0.0047
8.3050 2.5925 5.1162
Sb K Cu
2 5 1
Cartesian
2.3594 0.7365 0.4529
24.3437 7.5991 4.6726
13.3515 4.1678 2.5628
9.7589 3.0463 1.8732
16.9441 5.2893 3.2523
5.7993 1.8103 1.1131
20.9037 6.5253 4.0124
0.0000 0.0000 0.0000
```

## Properties
SG: No. 166
Formation energy (no corrections): -0.370 eV/atom
Calculated volume: 295.60 Å³ per cell

***

This record from the Alexandria database describes an optimized crystal structure of Sm7Mg2Hg2. The functional is PBE.

Cell and atoms, written as POSCAR:
```
Sm7Mg2Hg2
1.0
6.7229 -0.0027 -1.1989
0.0037 8.4145 0.0038
-1.6154 -0.0020 6.6352
Sm Mg Hg
7 2 2
Cartesian
5.9160 2.4358 2.1203
1.7491 5.9717 6.0382
-0.8049 5.9740 3.3198
3.3620 2.4381 -0.5981
0.0000 0.0000 0.0000
2.5568 6.4611 2.7209
2.5544 1.9487 2.7192
4.1611 4.2034 4.4289
0.9501 4.2064 1.0112
4.3824 -0.0023 1.0001
0.7288 8.4122 4.4400
```

## Properties
DOS at the Fermi energy: 12.74 states/eV per cell
SG: No. 65
Calculated formation energy: 0.06 eV/atom
Calculated volume: 359.06 Å³ per cell

***

This record from the Alexandria database describes an optimized crystal structure of Pr8AgGe3Te4. The functional is PBE.

Cell and atoms, written as POSCAR:
```
Pr8AgGe3Te4
1.0
8.8622 0.0000 0.0000
0.0000 8.9686 0.0683
-4.4311 -4.4265 6.2700
Pr Ag Ge Te
8 1 3 4
Cartesian
-2.1358 2.2210 6.2091
0.0000 4.3546 3.1873
0.0000 0.1822 3.2604
2.1358 2.2210 6.2091
2.2953 2.3211 0.1292
4.4311 4.3599 3.0780
4.4311 0.1875 3.1511
6.5669 2.3211 0.1292
0.0000 4.4843 0.0342
4.4311 4.4843 0.0342
2.2156 2.2710 3.1692
-2.2156 2.2710 3.1692
4.4311 0.0000 0.0000
2.2156 -2.2132 3.1350
0.0000 0.0000 0.0000
-2.2156 -2.2132 3.1350
```

## Properties
DOS at the Fermi energy: 9.30 states/eV per cell
SG: No. 166
Formation energy (no corrections): -1.102 eV/atom
Calculated volume: 501.03 Å³ per cell

***

This record from the Alexandria database describes an optimized crystal structure of KCdHg2. The functional is PBE.

Cell and atoms, written as POSCAR:
```
KCdHg2
1.0
5.5069 0.0000 0.0000
0.0000 3.4887 -0.0818
0.0000 0.1572 6.3003
K Hg Cd
1 2 1
Cartesian
0.0000 1.8238 3.0453
0.0000 0.1601 6.2253
2.7535 0.0444 1.5959
2.7535 3.5978 4.7616
```

## Properties
DOS at the Fermi energy: 1.37 states/eV per cell
SG: No. 6
Calculated formation energy: -0.13 eV/atom
Calculated volume: 121.11 Å³ per cell

***

This record from the Alexandria database describes an optimized crystal structure of Dy2Fe2P2C. The functional is PBE.

Cell and atoms, written as POSCAR:
```
Dy2Fe2P2C
1.0
-0.5963 2.4722 2.7900
-4.6749 2.8600 -0.9793
-4.1916 -1.9868 3.4187
Dy Fe P C
2 2 2 1
Cartesian
-4.1009 0.5277 3.7640
-5.3618 2.8177 1.4654
-7.1931 0.6232 3.0185
-2.2696 2.7222 2.2109
-2.9744 0.9301 1.0942
-6.4884 2.4152 4.1352
0.0000 0.0000 0.0000
```

## Properties
DOS at the Fermi energy: 4.08 states/eV per cell
SG: No. 12
Calculated formation energy: -0.92 eV/atom
Calculated volume: 104.35 Å³ per cell

***

This record from the Alexandria database describes an optimized crystal structure of Te2SeCl. The functional is PBE.

Cell and atoms, written as POSCAR:
```
Te2SeCl
1.0
6.0104 -0.0237 0.0068
1.1670 5.8961 -0.0068
-2.1885 -4.6476 3.1202
Cl Se Te
1 1 2
Cartesian
3.7053 -0.8676 1.5635
1.2836 2.0923 1.5567
0.1320 0.1080 0.0000
3.4567 2.8282 0.0000
```

## Properties
DOS at the Fermi energy: 3.55 states/eV per cell
SG: No. 71
Formation energy (no corrections): 0.130 eV/atom
Energy above the most stable polymorph in this dataset: 277.9 meV/atom
Calculated volume: 110.52 Å³ per cell

***

This record from the Alexandria database describes an optimized crystal structure of La2ZnMo. The functional is PBE.

Cell and atoms, written as POSCAR:
```
La2ZnMo
1.0
4.5452 0.0000 0.0000
0.0000 4.1088 0.2396
0.0000 1.7229 5.7171
La Mo Zn
2 1 1
Cartesian
0.0000 5.6040 5.4577
2.2726 1.6849 1.9960
0.0000 3.6866 3.0062
2.2726 3.6037 4.4318
```

## Properties
DOS at the Fermi energy: 4.46 states/eV per cell
SG: No. 38
Calculated formation energy: 0.16 eV/atom
Calculated volume: 104.89 Å³ per cell

***

This record from the Alexandria database describes an optimized crystal structure of InBi2O5. The functional is PBE.

Cell and atoms, written as POSCAR:
```
InBi2O5
1.0
5.9806 0.1678 0.0237
0.1004 5.6075 -1.1968
-3.0950 -4.0844 6.2574
In Bi O
1 2 5
Cartesian
2.9939 1.4424 4.8841
0.2516 2.9426 1.0617
3.0001 0.2449 1.1997
4.7374 1.5160 0.5483
1.4522 1.3547 0.0264
4.8185 4.3467 -0.0646
1.5460 4.2454 -0.2648
2.3445 1.0644 2.9869
```

## Properties
DOS at the Fermi energy: 1.95 states/eV per cell
SG: No. 1
Formation energy (no corrections): -1.052 eV/atom
Energy above the most stable polymorph in this dataset: 149.7 meV/atom
Calculated volume: 181.53 Å³ per cell

***

This record from the Alexandria database describes an optimized crystal structure of Sr4MgTa. The functional is PBE.

Cell and atoms, written as POSCAR:
```
Sr4MgTa
1.0
3.9873 -5.1670 2.3808
-1.8864 -3.5016 5.6960
-2.1624 -6.5812 -0.5253
Sr Mg Ta
4 1 1
Cartesian
1.9590 -8.2982 4.0208
-1.0981 -9.0013 2.5762
-0.9609 -7.4704 5.6688
-0.0231 -5.7297 2.8373
0.0000 0.0000 0.0000
-0.0461 -11.4373 5.6637
```

## Properties
DOS at the Fermi energy: 6.27 states/eV per cell
SG: No. 216
Calculated formation energy: 1.04 eV/atom
Calculated volume: 237.10 Å³ per cell